[1]
# HfRhBr2

A relaxed HfRhBr2 crystal (PBE, Alexandria).

abc: 3.3114 3.3114 26.4723
angles: 90.00 90.00 120.00
With the nearest neighbours (Å) after each atom.
Space group R-3m (No. 166, hexagonal axes)
Inequivalent atoms, fractional coordinates:
Hf (0.0000, 0.0000, 0.0000) x3  6 Br 2.74
Rh (0.0000, 0.0000, 0.5000) x3  2 Br 2.45
Br (0.0000, 0.0000, 0.4073) x6  1 Rh 2.45, 3 Hf 2.74

Results
formation energy without anion corrections: -0.13 eV/atom
Fermi-level density of states: 0.958 states/eV per atom
offset from the most stable computed form: 0.000 eV per atom
raw total energy: -5.2895 eV/atom



[2]
# DyY5Er5

A relaxed DyY5Er5 crystal (PBE, Alexandria).

abc: 6.0476 6.0476 11.4867
angles: 90.00 90.00 120.00
With the nearest neighbours (Å) after each atom.
Space group P-6m2 (No. 187)
Inequivalent atoms, fractional coordinates:
Dy (0.0000, 0.0000, 0.0000) x1  5 Y 3.49-3.65
Y (0.0000, 0.0000, 0.3181) x2  9 Er 3.54-3.68, 1 Dy 3.65, 3 Y 3.94
Y (0.3333, 0.6667, 0.1585) x2  7 Y 3.64-3.94, 3 Er 3.70, 3 Dy 3.94
Y (0.6667, 0.3333, 0.0000) x1  2 Er 3.05
Er (0.0020, 0.5010, 0.5000) x3  6 Er 3.01-3.21
Er (0.6667, 0.3333, 0.2656) x2  1 Y 3.05, 3 Er 3.21

Results
energy of formation from the pure elements: 0.305 eV per atom
Fermi-level density of states: 2.003 states/eV per atom
offset from the most stable computed form: 0.151 eV per atom
raw total energy: -5.1258 eV/atom



[3]
# Cs3U2TlTe6

A relaxed Cs3U2TlTe6 crystal (PBE, Alexandria).

abc: 8.2116 14.1776 9.2199
angles: 90.00 107.13 90.00
With the nearest neighbours (Å) after each atom.
Space group C2/m (No. 12)
Inequivalent atoms, fractional coordinates:
Cs (0.0000, 0.0000, 0.0000) x2  6 Te 3.69-3.95
Cs (0.0000, 0.3460, 0.0000) x4  6 Te 3.75-3.97
U (0.0000, 0.1679, 0.5000) x4  6 Te 3.10
Tl (0.0000, 0.5000, 0.5000) x2  6 Te 3.43-3.47
Te (0.1959, 0.0000, 0.6872) x4  2 U 3.10, 1 Tl 3.43
Te (0.2493, 0.3158, 0.6935) x8  2 U 3.10, 1 Tl 3.47

Results
formation energy without anion corrections: -0.83 eV/atom
Fermi-level density of states: 1.488 states/eV per atom
raw total energy: -4.6904 eV/atom



[4]
# ZrCoRu2

A relaxed ZrCoRu2 crystal (PBE, Alexandria).

abc: 9.1916 2.9449 4.6138
angles: 90.00 103.82 90.00
With the nearest neighbours (Å) after each atom.
Space group Cm (No. 8)
Inequivalent atoms, fractional coordinates:
Zr (0.0000, 0.0000, 0.0000) x2  7 Ru 2.73-2.91, 3 Co 2.73-2.78, 2 Zr 2.94
Co (0.2433, 0.0000, 0.7557) x2  4 Ru 2.54-2.65, 3 Zr 2.73-2.78
Ru (0.0070, 0.5000, 0.5022) x2  5 Ru 2.64-2.94, 3 Co 2.65-2.93, 4 Zr 2.73-2.74
Ru (0.2634, 0.5000, 0.3184) x2  2 Co 2.54, 3 Ru 2.64-2.69

Results
energy of formation from the pure elements: -0.010 eV per atom
Fermi-level density of states: 1.293 states/eV per atom
offset from the most stable computed form: 0.124 eV per atom
raw total energy: -8.5616 eV/atom